Entry 1:
NaYSn | PBE-GGA | optimized geometry

The structure in CIF format:
```
data_NaYSn
_space_group_name_H-M_alt 'P 63/m m c'
_space_group_IT_number 194
_space_group_name_Hall '-P 6c 2c'
_cell_length_a 5.9232
_cell_length_b 5.9232
_cell_length_c 11.6097
_cell_angle_alpha 90.00
_cell_angle_beta 90.00
_cell_angle_gamma 120.00
loop_
_atom_site_label
_atom_site_type_symbol
_atom_site_fract_x
_atom_site_fract_y
_atom_site_fract_z
_atom_site_occupancy
Na1 Na 0.3333 0.6667 0.2500 1
Y1 Y 0.0000 0.0000 0.2500 1
Sn1 Sn 0.0000 0.0000 0.0000 1
```

Properties
The formation energy is 0.9814 eV/atom. The total energy is -0.108 Ha/atom.

Entry 2:
NaYSn | PBE-GGA | optimized geometry

The structure in CIF format:
```
data_NaYSn
_space_group_name_H-M_alt 'C 1 m 1'
_space_group_IT_number 8
_cell_length_a 12.492
_cell_length_b 3.573
_cell_length_c 9.281
_cell_angle_alpha 90.00
_cell_angle_beta 122.59
_cell_angle_gamma 90.00
loop_
_space_group_symop_operation_xyz
'x,y,z'
'x,-y,z'
'x+1/2,y+1/2,z'
'x+1/2,-y+1/2,z'
loop_
_atom_site_label
_atom_site_type_symbol
_atom_site_fract_x
_atom_site_fract_y
_atom_site_fract_z
_atom_site_occupancy
Na1 Na 0.000 0.000 0.000 1
Na2 Na 0.215 0.500 0.370 1
Y1 Y 0.185 0.000 0.689 1
Y2 Y 0.430 0.000 0.320 1
Sn1 Sn 0.237 0.500 0.009 1
Sn2 Sn 0.445 0.000 0.671 1
```

Properties
The formation energy is -0.2169 eV/atom. The total energy is -0.152 Ha/atom.

Entry 3:
NaYSn | PBE-GGA | optimized geometry

The structure in CIF format:
```
data_NaYSn
_space_group_name_H-M_alt 'C 1 2/m 1'
_space_group_IT_number 12
_cell_length_a 10.833
_cell_length_b 4.660
_cell_length_c 7.399
_cell_angle_alpha 90.00
_cell_angle_beta 114.68
_cell_angle_gamma 90.00
loop_
_space_group_symop_operation_xyz
'x,y,z'
'-x,-y,-z'
'-x,y,-z'
'x,-y,z'
'x+1/2,y+1/2,z'
'-x+1/2,-y+1/2,-z'
'-x+1/2,y+1/2,-z'
'x+1/2,-y+1/2,z'
loop_
_atom_site_label
_atom_site_type_symbol
_atom_site_fract_x
_atom_site_fract_y
_atom_site_fract_z
_atom_site_occupancy
Na1 Na 0.149 0.000 0.057 1
Y1 Y 0.160 0.000 0.570 1
Sn1 Sn 0.001 0.500 0.283 1
```

Properties
The formation energy is -0.2987 eV/atom. The total energy is -0.155 Ha/atom.

Entry 4:
NaYSn | PBE-GGA | optimized geometry

The structure in CIF format:
```
data_NaYSn
_space_group_name_H-M_alt 'P 3 m 1'
_space_group_IT_number 156
_cell_length_a 5.1463
_cell_length_b 5.1463
_cell_length_c 3.5004
_cell_angle_alpha 90.00
_cell_angle_beta 90.00
_cell_angle_gamma 120.00
loop_
_space_group_symop_operation_xyz
'x,y,z'
'-y,x-y,z'
'-x+y,-x,z'
'-y,-x,z'
'-x+y,y,z'
'x,x-y,z'
loop_
_atom_site_label
_atom_site_type_symbol
_atom_site_fract_x
_atom_site_fract_y
_atom_site_fract_z
_atom_site_occupancy
Na1 Na 0.0000 0.0000 0.0000 1
Y1 Y 0.3333 0.6667 0.4553 1
Sn1 Sn 0.6667 0.3333 0.8919 1
```

Properties
The formation energy is -0.2881 eV/atom. The total energy is -0.155 Ha/atom.

Entry 5:
NaY3Sn | PBE-GGA | optimized geometry

The structure in CIF format:
```
data_NaY3Sn
_space_group_name_H-M_alt 'P m -3 m'
_space_group_IT_number 221
_space_group_name_Hall '-P 4 2 3'
_cell_length_a 5.426
_cell_length_b 5.426
_cell_length_c 5.426
_cell_angle_alpha 90.00
_cell_angle_beta 90.00
_cell_angle_gamma 90.00
loop_
_atom_site_label
_atom_site_type_symbol
_atom_site_fract_x
_atom_site_fract_y
_atom_site_fract_z
_atom_site_occupancy
Na1 Na 0.000 0.000 0.000 1
Y1 Y 0.000 0.000 0.500 1
Sn1 Sn 0.500 0.500 0.500 1
```

Properties
The formation energy is 0.6376 eV/atom. The total energy is -0.158 Ha/atom.

Entry 6:
NaYSn | PBE-GGA | optimized geometry

The structure in CIF format:
```
data_NaYSn
_space_group_name_H-M_alt 'F -4 3 m'
_space_group_IT_number 216
_space_group_name_Hall 'F -4 2 3'
_cell_length_a 7.272
_cell_length_b 7.272
_cell_length_c 7.272
_cell_angle_alpha 90.00
_cell_angle_beta 90.00
_cell_angle_gamma 90.00
loop_
_atom_site_label
_atom_site_type_symbol
_atom_site_fract_x
_atom_site_fract_y
_atom_site_fract_z
_atom_site_occupancy
Na1 Na 0.000 0.000 0.000 1
Y1 Y 0.250 0.250 0.250 1
Sn1 Sn 0.000 0.000 0.500 1
```

Properties
The formation energy is -0.0142 eV/atom. The total energy is -0.145 Ha/atom.

Entry 7:
NaYSn | PBE-GGA | optimized geometry

The structure in CIF format:
```
data_NaYSn
_space_group_name_H-M_alt 'P 63/m m c'
_space_group_IT_number 194
_space_group_name_Hall '-P 6c 2c'
_cell_length_a 5.0492
_cell_length_b 5.0492
_cell_length_c 7.2380
_cell_angle_alpha 90.00
_cell_angle_beta 90.00
_cell_angle_gamma 120.00
loop_
_atom_site_label
_atom_site_type_symbol
_atom_site_fract_x
_atom_site_fract_y
_atom_site_fract_z
_atom_site_occupancy
Na1 Na 0.3333 0.6667 0.2500 1
Y1 Y 0.0000 0.0000 0.0000 1
Sn1 Sn 0.3333 0.6667 0.7500 1
```

Properties
The formation energy is -0.3777 eV/atom. The total energy is -0.158 Ha/atom.

Entry 8:
NaYSn3 | PBE-GGA | optimized geometry

The structure in CIF format:
```
data_NaYSn3
_space_group_name_H-M_alt 'P b c m'
_space_group_IT_number 57
_cell_length_a 13.845
_cell_length_b 6.235
_cell_length_c 6.301
_cell_angle_alpha 90.00
_cell_angle_beta 90.00
_cell_angle_gamma 90.00
loop_
_space_group_symop_operation_xyz
'x,y,z'
'-x,-y,-z'
'-x,-y,z+1/2'
'x,y,-z+1/2'
'x,-y+1/2,-z'
'-x,y+1/2,z'
'-x,y+1/2,-z+1/2'
'x,-y+1/2,z+1/2'
loop_
_atom_site_label
_atom_site_type_symbol
_atom_site_fract_x
_atom_site_fract_y
_atom_site_fract_z
_atom_site_occupancy
Na1 Na 0.098 0.250 0.000 1
Y1 Y 0.321 0.004 0.250 1
Sn1 Sn 0.114 0.720 0.750 1
Sn2 Sn 0.288 0.005 0.750 1
Sn3 Sn 0.495 0.750 0.000 1
```

Properties
The formation energy is -0.3555 eV/atom. The total energy is -0.159 Ha/atom.

The following E above lowest polymorph values (in eV/atom) correspond, in order, to the records above: 1.480; 0.282; 0.200; 0.211; 0.421; 0.485; 0.121; 0.000.